Entry 1:
{
  "formula": "TaCu2Au",
  "functional": "PBE-GGA",
  "state": "optimized geometry",
  "polymorph_energy_ev_per_fu": 0.45,
  "delta_e_f_ev_per_atom": 0.14,
  "final_energy_ev_per_cell": -22.8,
  "lattice_angstrom": [[8.8735, -0.0120, -0.0071], [8.4153, 2.8147, -0.0071], [8.4153, 1.3642, 2.4621]],
  "species": ["Cu", "Au", "Cu", "Ta"],
  "frac_coords": [[0.2558, 0.2558, 0.2558], [0.7448, 0.7448, 0.7448], [0.9953, 0.9953, 0.9953], [0.5041, 0.5041, 0.5041]]
}

---

Entry 2:
{
  "formula": "Li3Mg4Ga4",
  "functional": "PBE-GGA",
  "state": "optimized geometry",
  "delta_e_f_ev_per_atom": -0.15,
  "final_energy_ev_per_cell": -25.9,
  "lattice_angstrom": [[-1.7562, 2.2844, 1.0896], [-6.7943, -5.2224, -0.0020], [6.0122, -0.7936, 6.9996]],
  "species": ["Ga", "Li", "Mg", "Li", "Ga", "Ga", "Mg", "Mg", "Ga", "Li", "Mg"],
  "frac_coords": [[0.5000, 0.7872, 0.0000], [0.0000, 0.5000, 0.0000], [0.6632, 0.4668, 0.3263], [0.9085, 0.9085, 0.8171], [0.7329, 0.2329, 0.4658], [0.2671, 0.7671, 0.5342], [0.6632, 0.8595, 0.3263], [0.3368, 0.5332, 0.6737], [0.5000, 0.2128, 0.0000], [0.0915, 0.0915, 0.1829], [0.3368, 0.1405, 0.6737]]
}

---

Entry 3:
{
  "formula": "LiNd2Au",
  "functional": "PBE-GGA",
  "state": "optimized geometry",
  "delta_e_f_ev_per_atom": -0.15,
  "final_energy_ev_per_cell": -15.3,
  "lattice_angstrom": [[-1.4361, -1.7124, -3.4058], [-2.0857, -3.4934, 0.1997], [-8.6041, 2.7510, -0.1914]],
  "species": ["Nd", "Au", "Nd", "Li"],
  "frac_coords": [[0.0710, 0.0710, 0.7871], [0.6658, 0.6658, 0.0025], [0.2624, 0.2624, 0.2128], [0.5008, 0.5008, 0.4975]]
}

---

What did the second record say?
{
  "formula": "Li3Mg4Ga4",
  "functional": "PBE-GGA",
  "state": "optimized geometry",
  "delta_e_f_ev_per_atom": -0.15,
  "final_energy_ev_per_cell": -25.9,
  "lattice_angstrom": [[-1.7562, 2.2844, 1.0896], [-6.7943, -5.2224, -0.0020], [6.0122, -0.7936, 6.9996]],
  "species": ["Ga", "Li", "Mg", "Li", "Ga", "Ga", "Mg", "Mg", "Ga", "Li", "Mg"],
  "frac_coords": [[0.5000, 0.7872, 0.0000], [0.0000, 0.5000, 0.0000], [0.6632, 0.4668, 0.3263], [0.9085, 0.9085, 0.8171], [0.7329, 0.2329, 0.4658], [0.2671, 0.7671, 0.5342], [0.6632, 0.8595, 0.3263], [0.3368, 0.5332, 0.6737], [0.5000, 0.2128, 0.0000], [0.0915, 0.0915, 0.1829], [0.3368, 0.1405, 0.6737]]
}